Material: ThZnCo3
Method: DFT, PBE
State: relaxed

Unit cell a=4.1485 b=4.1485 c=5.5479 alpha=111.96 beta=111.96 gamma=90.00
With the nearest neighbours (Å) after each atom.
Element x y z (fractional)
Co (0.3811, 0.3811, 0.7622)  4 Co 2.28, 1 Zn 2.43
Co (0.7801, 0.2801, 0.5603)  2 Co 2.28, 2 Zn 2.47
Co (0.2801, 0.7801, 0.5603)  2 Co 2.28, 2 Zn 2.47
Th (0.0103, 0.0103, 0.0205)  12 Co 3.00-3.28, 4 Zn 3.17
Zn (0.6387, 0.6387, 0.2773)  5 Co 2.43-2.47

## Properties
E_form: -0.072 eV per atom


Material: Th2Zn16Co
Method: DFT, PBE
State: relaxed

Unit cell a=6.8099 b=6.8099 c=6.8098 alpha=82.98 beta=82.98 gamma=82.98
With the nearest neighbours (Å) after each atom.
Element x y z (fractional)
Zn (0.2827, 0.9988, 0.7148)  8 Zn 2.55-2.82
Zn (0.8418, 0.3537, 0.3537)  8 Zn 2.59-2.78
Zn (0.5092, 0.9952, 0.9952)  9 Zn 2.55-2.84, 1 Co 2.64
Zn (0.6531, 0.1559, 0.6531)  8 Zn 2.58-2.82, 1 Co 2.77
Zn (0.3537, 0.8418, 0.3537)  8 Zn 2.59-2.78
Zn (0.7148, 0.9988, 0.2827)  8 Zn 2.55-2.82
Zn (0.9952, 0.9952, 0.5092)  9 Zn 2.55-2.84, 1 Co 2.64
Zn (0.3537, 0.3537, 0.8418)  8 Zn 2.59-2.78
Zn (0.9988, 0.7148, 0.2827)  8 Zn 2.55-2.82
Zn (0.2827, 0.7148, 0.9988)  8 Zn 2.55-2.82
Zn (0.6531, 0.6531, 0.1559)  8 Zn 2.58-2.82, 1 Co 2.77
Zn (0.1559, 0.6531, 0.6531)  8 Zn 2.58-2.82, 1 Co 2.77
Zn (0.7148, 0.2827, 0.9988)  8 Zn 2.55-2.82
Zn (0.0940, 0.0940, 0.0940)  1 Co 2.68, 12 Zn 2.84-2.91
Zn (0.9988, 0.2827, 0.7148)  8 Zn 2.55-2.82
Zn (0.9952, 0.5092, 0.9952)  9 Zn 2.55-2.84, 1 Co 2.64
Th (0.6719, 0.6719, 0.6719)  1 Co 2.87
Th (0.3405, 0.3405, 0.3405)  19 Zn 3.23-3.52
Co (0.8900, 0.8900, 0.8900)  13 Zn 2.64-2.93, 1 Th 2.87

## Properties
E_form: -0.201 eV per atom


Material: ThZn2Co3
Method: DFT, PBE
State: relaxed

Unit cell a=4.9745 b=6.2172 c=6.2172 alpha=93.79 beta=90.00 gamma=90.00
With the nearest neighbours (Å) after each atom.
Element x y z (fractional)
Co (0.2500, 0.5530, 0.9422)  1 Co 2.36, 4 Zn 2.51-2.52
Co (0.7500, 0.4470, 0.0578)  1 Co 2.36, 4 Zn 2.51-2.52
Co (0.2500, 0.9422, 0.5530)  1 Co 2.36, 4 Zn 2.51-2.52
Co (0.7500, 0.0578, 0.4470)  1 Co 2.36, 4 Zn 2.51-2.52
Co (0.2500, 0.9317, 0.9317)  2 Co 2.36, 4 Zn 2.56
Co (0.7500, 0.0683, 0.0683)  2 Co 2.36, 4 Zn 2.56
Zn (0.5000, 0.7625, 0.2375)  2 Zn 2.49, 6 Co 2.51-2.56
Zn (0.0000, 0.7625, 0.2375)  2 Zn 2.49, 6 Co 2.51-2.56
Zn (0.0000, 0.2375, 0.7625)  2 Zn 2.49, 6 Co 2.51-2.56
Zn (0.5000, 0.2375, 0.7625)  2 Zn 2.49, 6 Co 2.51-2.56
Th (0.7500, 0.7228, 0.7228)  9 Co 2.78-3.06
Th (0.2500, 0.2772, 0.2772)  9 Co 2.78-3.06

## Properties
E_form: -0.091 eV per atom


Material: ThZnCo
Method: DFT, PBE
State: relaxed

Unit cell a=3.7816 b=4.2479 c=4.2479 alpha=120.00 beta=90.00 gamma=90.00
With the nearest neighbours (Å) after each atom.
Element x y z (fractional)
Zn (0.1666, 0.6667, 0.3333)  3 Co 2.45
Co (0.1666, 0.0000, 0.0000)  3 Zn 2.45
Th (0.6668, 0.3333, 0.6667)  6 Co 3.10, 6 Zn 3.10

## Properties
E_form: -0.207 eV per atom


Material: Th2Zn9Co3
Method: DFT, PBE
State: relaxed

Unit cell a=7.7881 b=7.7881 c=10.1508 alpha=89.46 beta=108.80 gamma=126.32
With the nearest neighbours (Å) after each atom.
Element x y z (fractional)
Zn (0.8544, 0.0025, 0.0303)  5 Zn 2.55-2.83, 3 Co 2.65-2.72
Zn (0.7118, 0.7637, 0.7575)  2 Co 2.53-2.66, 7 Zn 2.55-2.83
Zn (0.0468, 0.7968, 0.2500)  2 Co 2.63, 4 Zn 2.72-2.78
Zn (0.2882, 0.2363, 0.2425)  2 Co 2.53-2.66, 7 Zn 2.55-2.83
Zn (0.1456, 0.9975, 0.9697)  5 Zn 2.55-2.83, 3 Co 2.65-2.72
Zn (0.5279, 0.1760, 0.5303)  5 Zn 2.55-2.83, 3 Co 2.65-2.72
Zn (0.8287, 0.3062, 0.9388)  4 Zn 2.48-2.72, 3 Co 2.53-2.71
Zn (0.5633, 0.3442, 0.1004)  3 Co 2.46-2.73, 3 Zn 2.55-2.69
Zn (0.2563, 0.5372, 0.6004)  3 Co 2.46-2.73, 3 Zn 2.55-2.69
Zn (0.4367, 0.6558, 0.8996)  3 Co 2.46-2.73, 3 Zn 2.55-2.69
Zn (0.9532, 0.2032, 0.7500)  2 Co 2.63, 4 Zn 2.72-2.78
Zn (0.1326, 0.1100, 0.4388)  4 Zn 2.48-2.72, 3 Co 2.53-2.71
Zn (0.5062, 0.9542, 0.7425)  2 Co 2.53-2.66, 7 Zn 2.55-2.83
Zn (0.4938, 0.0458, 0.2575)  2 Co 2.53-2.66, 7 Zn 2.55-2.83
Zn (0.8674, 0.8900, 0.5612)  4 Zn 2.48-2.72, 3 Co 2.53-2.71
Zn (0.4721, 0.8240, 0.4697)  5 Zn 2.55-2.83, 3 Co 2.65-2.72
Zn (0.1713, 0.6938, 0.0612)  4 Zn 2.48-2.72, 3 Co 2.53-2.71
Zn (0.7437, 0.4628, 0.3996)  3 Co 2.46-2.73, 3 Zn 2.55-2.69
Th (0.0022, 0.6302, 0.7292)  1 Co 2.65
Th (0.4010, 0.2730, 0.7708)  1 Co 2.65
Th (0.5990, 0.7270, 0.2292)  1 Co 2.65
Th (0.9978, 0.3698, 0.2708)  1 Co 2.65
Co (0.7804, 0.6172, 0.9758)  8 Zn 2.46-2.73, 1 Th 2.65
Co (0.5000, 0.0000, 0.0000)  8 Zn 2.53-2.66
Co (0.5000, 0.5000, 0.5000)  8 Zn 2.53-2.66
Co (0.2196, 0.3828, 0.0242)  8 Zn 2.46-2.73, 1 Th 2.65
Co (0.1413, 0.8046, 0.5242)  8 Zn 2.46-2.73, 1 Th 2.65
Co (0.8587, 0.1954, 0.4758)  8 Zn 2.46-2.73, 1 Th 2.65

## Properties
E_form: -0.156 eV per atom


Material: Th2ZnCo
Method: DFT, PBE
State: relaxed

Unit cell a=3.5658 b=3.5658 c=7.1404 alpha=90.00 beta=90.00 gamma=90.00
With the nearest neighbours (Å) after each atom.
Element x y z (fractional)
Zn (0.5000, 0.5000, 0.5000)  8 Th 3.19, 4 Zn 3.57, 2 Co 3.57
Th (0.0000, 0.0000, 0.2259)  4 Co 2.99, 4 Zn 3.19, 1 Th 3.23
Th (0.0000, 0.0000, 0.7741)  4 Co 2.99, 4 Zn 3.19, 1 Th 3.23
Co (0.5000, 0.5000, 0.0000)  8 Th 2.99

## Properties
offset from the most stable computed form: 92 meV/atom
E_form: -0.141 eV per atom


Material: Th2ZnCo
Method: DFT, PBE
State: relaxed

Unit cell a=3.7473 b=6.2437 c=8.3886 alpha=109.78 beta=90.00 gamma=90.00
With the nearest neighbours (Å) after each atom.
Element x y z (fractional)
Co (0.7500, 0.6484, 0.2832)  2 Zn 2.57, 4 Th 2.74-2.78
Co (0.2500, 0.3516, 0.7168)  2 Zn 2.57, 4 Th 2.74-2.78
Th (0.2500, 0.7826, 0.5424)  2 Co 2.78
Th (0.7500, 0.2174, 0.4576)  2 Co 2.78
Th (0.7500, 0.2047, 0.8953)  2 Co 2.74
Th (0.2500, 0.7953, 0.1047)  2 Co 2.74
Zn (0.7500, 0.6505, 0.7913)  2 Co 2.57
Zn (0.2500, 0.3495, 0.2087)  2 Co 2.57

## Properties
offset from the most stable computed form: 0 meV/atom
E_form: -0.233 eV per atom


Material: ThZn8Co4
Method: DFT, PBE
State: relaxed

Unit cell a=4.9500 b=6.6704 c=6.6704 alpha=82.09 beta=68.22 gamma=68.22
With the nearest neighbours (Å) after each atom.
Element x y z (fractional)
Co (0.5000, 0.0000, 0.5000)  2 Co 2.48, 8 Zn 2.52-2.65
Co (0.5000, 0.5000, 0.0000)  2 Co 2.48, 8 Zn 2.52-2.65
Co (0.0000, 0.0000, 0.5000)  2 Co 2.48, 8 Zn 2.52-2.65
Co (0.0000, 0.5000, 0.0000)  2 Co 2.48, 8 Zn 2.52-2.65
Zn (0.6531, 0.3469, 0.3469)  4 Co 2.65, 5 Zn 2.68-2.72
Zn (0.5000, 0.2297, 0.7703)  4 Co 2.52, 4 Zn 2.68-2.72
Zn (0.5000, 0.7703, 0.2297)  4 Co 2.52, 4 Zn 2.68-2.72
Zn (0.3469, 0.6531, 0.6531)  4 Co 2.65, 5 Zn 2.68-2.72
Zn (0.0000, 0.6531, 0.3469)  4 Co 2.65, 5 Zn 2.68-2.72
Zn (0.7297, 0.7703, 0.7703)  4 Co 2.52, 4 Zn 2.68-2.72
Zn (0.0000, 0.3469, 0.6531)  4 Co 2.65, 5 Zn 2.68-2.72
Zn (0.2703, 0.2297, 0.2297)  4 Co 2.52, 4 Zn 2.68-2.72
Th (0.0000, 0.0000, 0.0000)  12 Zn 3.04-3.19, 8 Co 3.34

## Properties
E_form: -0.137 eV per atom


Material: Th2ZnCo4
Method: DFT, PBE
State: relaxed

Unit cell a=5.6697 b=5.6697 c=5.6615 alpha=120.17 beta=120.17 gamma=89.78
With the nearest neighbours (Å) after each atom.
Element x y z (fractional)
Th (0.7500, 0.2500, 0.5000)  8 Co 2.85-2.86
Th (0.2500, 0.7500, 0.5000)  8 Co 2.85-2.86
Co (0.7014, 0.7015, 0.4029)  2 Co 2.29, 1 Zn 2.38
Co (0.7039, 0.7038, 0.0000)  2 Co 2.29, 1 Zn 2.38
Co (0.2962, 0.2961, 0.0000)  2 Co 2.29, 1 Zn 2.38
Co (0.2985, 0.2986, 0.5971)  2 Co 2.29, 1 Zn 2.38
Zn (0.0000, 0.0000, 0.0000)  4 Co 2.38

## Properties
E_form: -0.060 eV per atom


Material: Th2ZnCo
Method: DFT, PBE
State: relaxed

Unit cell a=3.9308 b=3.9308 c=7.9468 alpha=75.68 beta=75.68 gamma=60.00
With the nearest neighbours (Å) after each atom.
Element x y z (fractional)
Th (0.2661, 0.2661, 0.2017)  3 Co 2.75
Th (0.0676, 0.0676, 0.7973)  3 Co 2.74
Co (0.6671, 0.6671, 0.9987)  6 Th 2.74-2.75
Zn (0.4993, 0.4993, 0.5022)  6 Th 3.19-3.22

## Properties
offset from the most stable computed form: 108 meV/atom
E_form: -0.125 eV per atom


| no. | size of the total moment (μB per formula unit) |
| --- | --- |
| 1 | 2.985 |
| 2 | 0.001 |
| 3 | 2.684 |
| 4 | 0.000 |
| 5 | 0.000 |
| 6 | 0.000 |
| 7 | 0.000 |
| 8 | 4.404 |
| 9 | 1.003 |
| 10 | 0.000 |